No. 1
# PBE Ac6Pm2Nd5, relaxed
data_Ac6Pm2Nd5
_symmetry_space_group_name_H-M 'P b a m'
_symmetry_Int_Tables_number 55
_cell_length_a 11.4880
_cell_length_b 24.0278
_cell_length_c 3.7872
_cell_angle_alpha 90.00
_cell_angle_beta 90.00
_cell_angle_gamma 90.00
loop_
_symmetry_equiv_pos_as_xyz
'x,y,z'
'-x,-y,-z'
'-x,-y,z'
'x,y,-z'
'x+1/2,-y+1/2,-z'
'-x+1/2,y+1/2,z'
'-x+1/2,y+1/2,-z'
'x+1/2,-y+1/2,z'
loop_
_atom_site_label
_atom_site_fract_x
_atom_site_fract_y
_atom_site_fract_z
Ac1 0.0200 0.1118 0.0000
Ac2 0.1455 0.3852 0.0000
Ac3 0.1658 0.6333 0.5000
Pm1 0.1646 0.7683 0.0000
Nd1 0.0000 0.5000 0.5000
Nd2 0.0856 0.2489 0.5000
Nd3 0.1663 0.9964 0.5000
# E = -4.323 eV per atom

=====

No. 2
# PBE HoMnIr, relaxed
data_HoMnIr
_symmetry_space_group_name_H-M 'I m m a'
_symmetry_Int_Tables_number 74
_symmetry_space_group_name_Hall '-I 2b 2'
_cell_length_a 5.1781
_cell_length_b 5.5237
_cell_length_c 7.2904
_cell_angle_alpha 90.00
_cell_angle_beta 90.00
_cell_angle_gamma 90.00
loop_
_atom_site_label
_atom_site_fract_x
_atom_site_fract_y
_atom_site_fract_z
Ho1 0.0000 0.2500 0.1251
Mn1 0.2500 0.2500 0.7500
Ir1 0.0000 0.0000 0.5000
# E = -8.081 eV per atom

=====

No. 3
# PBE LiGaHPt2, relaxed
data_LiGaHPt2
_symmetry_space_group_name_H-M 'P 4/m m m'
_symmetry_Int_Tables_number 123
_symmetry_space_group_name_Hall '-P 4 2'
_cell_length_a 3.9728
_cell_length_b 3.9728
_cell_length_c 3.7844
_cell_angle_alpha 90.00
_cell_angle_beta 90.00
_cell_angle_gamma 90.00
loop_
_atom_site_label
_atom_site_fract_x
_atom_site_fract_y
_atom_site_fract_z
Li1 0.0000 0.0000 0.0000
Ga1 0.5000 0.5000 0.0000
H1 0.0000 0.0000 0.5000
Pt1 0.0000 0.5000 0.5000
# E = -4.618 eV per atom

=====

No. 4
# PBE BeRu2Br, relaxed
data_BeRu2Br
_symmetry_space_group_name_H-M 'P 4/m m m'
_symmetry_Int_Tables_number 123
_symmetry_space_group_name_Hall '-P 4 2'
_cell_length_a 2.9894
_cell_length_b 2.9894
_cell_length_c 6.1704
_cell_angle_alpha 90.00
_cell_angle_beta 90.00
_cell_angle_gamma 90.00
loop_
_atom_site_label
_atom_site_fract_x
_atom_site_fract_y
_atom_site_fract_z
Be1 0.0000 0.0000 0.0000
Ru1 0.5000 0.5000 0.2078
Br1 0.0000 0.0000 0.5000
# Formation energy (no corrections) = 0.479 eV per atom
# Polymorph energy (0 for the lowest one) = 0.158 eV per atom

=====

No. 5
# PBE TlZnB, relaxed
data_TlZnB
_symmetry_space_group_name_H-M 'P 1'
_symmetry_Int_Tables_number 1
_cell_length_a 3.8899
_cell_length_b 5.5809
_cell_length_c 6.5880
_cell_angle_alpha 65.91
_cell_angle_beta 72.90
_cell_angle_gamma 89.70
loop_
_symmetry_equiv_pos_as_xyz
'x,y,z'
loop_
_atom_site_label
_atom_site_fract_x
_atom_site_fract_y
_atom_site_fract_z
Tl1 0.0000 0.0000 0.0000
Tl2 0.4871 0.4809 0.0252
Zn1 0.2670 0.6290 0.4680
Zn2 0.7332 0.0946 0.5340
B1 0.7311 0.4501 0.5426
B2 0.7334 0.7349 0.5344
# E = -3.025 eV per atom

=====

No. 6
# PBE Na2BeCu, relaxed
data_Na2BeCu
_symmetry_space_group_name_H-M 'I -4 2 d'
_symmetry_Int_Tables_number 122
_symmetry_space_group_name_Hall 'I -4 2bw'
_cell_length_a 3.6868
_cell_length_b 3.6868
_cell_length_c 20.8402
_cell_angle_alpha 90.00
_cell_angle_beta 90.00
_cell_angle_gamma 90.00
loop_
_atom_site_label
_atom_site_fract_x
_atom_site_fract_y
_atom_site_fract_z
Na1 0.2490 0.2500 0.1250
Be1 0.0000 0.0000 0.5000
Cu1 0.0000 0.0000 0.0000
# E = -1.912 eV per atom

=====

No. 7
# PBE CaIrSe2, relaxed
data_CaIrSe2
_symmetry_space_group_name_H-M 'R -3 m'
_symmetry_Int_Tables_number 166
_symmetry_space_group_name_Hall '-R 3 2"'
_cell_length_a 3.8704
_cell_length_b 3.8704
_cell_length_c 24.4457
_cell_angle_alpha 90.00
_cell_angle_beta 90.00
_cell_angle_gamma 120.00
loop_
_atom_site_label
_atom_site_fract_x
_atom_site_fract_y
_atom_site_fract_z
Ca1 0.0000 0.0000 0.0000
Ir1 0.0000 0.0000 0.5000
Se1 0.0000 0.0000 0.1176
# Formation energy (no corrections) = -0.421 eV per atom
# Polymorph energy (0 for the lowest one) = 0.323 eV per atom

=====

No. 8
# PBE K2HoCrS4, relaxed
data_K2HoCrS4
_symmetry_space_group_name_H-M 'P 1 2/m 1'
_symmetry_Int_Tables_number 10
_cell_length_a 6.6254
_cell_length_b 3.8654
_cell_length_c 7.6371
_cell_angle_alpha 90.00
_cell_angle_beta 107.24
_cell_angle_gamma 90.00
loop_
_symmetry_equiv_pos_as_xyz
'x,y,z'
'-x,-y,-z'
'-x,y,-z'
'x,-y,z'
loop_
_atom_site_label
_atom_site_fract_x
_atom_site_fract_y
_atom_site_fract_z
K1 0.0000 0.0000 0.0000
K2 0.5000 0.5000 0.0000
Ho1 0.0000 0.5000 0.5000
Cr1 0.5000 0.0000 0.5000
S1 0.2549 0.0000 0.6961
S2 0.2955 0.5000 0.3169
# Formation energy (no corrections) = -1.352 eV per atom